DFT (PBE) results for Nd2Mg2Rh15 after structural relaxation.

Geometry as POSCAR:
```
Nd2Mg2Rh15
1.0
4.522 2.611 4.439
-4.522 2.611 4.439
0.000 -5.222 4.439
Nd Mg Rh
2 2 15
direct
0.151 0.151 0.151
0.849 0.849 0.849
0.396 0.396 0.396
0.604 0.604 0.604
0.000 0.500 0.500
0.150 0.150 0.651
0.150 0.651 0.150
0.200 0.500 0.800
0.200 0.800 0.500
0.349 0.850 0.850
0.500 0.000 0.500
0.500 0.200 0.800
0.500 0.500 0.000
0.500 0.800 0.200
0.651 0.150 0.150
0.800 0.200 0.500
0.800 0.500 0.200
0.850 0.349 0.850
0.850 0.850 0.349
```

* E_form: -0.274 eV per atom
* magnetization: 0.00 μB/atom
* space group: No. 166
* crystal system: trigonal


DFT (PBE) results for Nd3Mg2Rh3 after structural relaxation.

Geometry as POSCAR:
```
Nd3Mg2Rh3
1.0
8.369 0.000 0.000
-4.184 7.248 0.000
0.000 0.000 5.896
Nd Mg Rh
6 4 6
direct
0.000 0.269 0.250
0.000 0.731 0.750
0.269 0.000 0.250
0.269 0.269 0.750
0.731 0.000 0.750
0.731 0.731 0.250
0.333 0.667 0.000
0.333 0.667 0.500
0.667 0.333 0.000
0.667 0.333 0.500
0.000 0.394 0.750
0.000 0.606 0.250
0.394 0.000 0.750
0.394 0.394 0.250
0.606 0.000 0.250
0.606 0.606 0.750
```

* E_form: -0.568 eV per atom
* magnetization: 0.00 μB/atom
* space group: No. 193
* crystal system: hexagonal